Record 1
Below is crystalline TbDyPt at its relaxed geometry, with properties calculated at the PBE level. Values from VASP.

```
&SYSTEM
  ibrav = 0, nat = 6, ntyp = 3
/
ATOMIC_SPECIES
Tb 158.93 Tb.upf
Dy 162.50 Dy.upf
Pt 195.08 Pt.upf
CELL_PARAMETERS angstrom
2.4348 1.4058 7.9684
-2.4348 1.4058 7.9684
0.0000 -2.8115 7.9684
ATOMIC_POSITIONS crystal
Tb 0.1247 0.1247 0.1247
Tb 0.8753 0.8753 0.8753
Dy 0.3747 0.3747 0.3747
Dy 0.6253 0.6253 0.6253
Pt 0.2504 0.2504 0.2504
Pt 0.7496 0.7496 0.7496
```

Calculated values
Calculated volume   164 Å³ per cell
DFT formation energy   -0.859 eV/atom

Record 2
Below is crystalline CsLiHg2Pt at its relaxed geometry, with properties calculated at the PBE level. Values from VASP.

```
&SYSTEM
  ibrav = 0, nat = 5, ntyp = 4
/
ATOMIC_SPECIES
Cs 132.91 Cs.upf
Li 6.94 Li.upf
Hg 200.59 Hg.upf
Pt 195.08 Pt.upf
CELL_PARAMETERS angstrom
5.4666 0.0000 0.0000
0.0000 5.4666 0.0000
0.0000 0.0000 5.0299
ATOMIC_POSITIONS crystal
Cs 0.0000 0.0000 0.0000
Li 0.5000 0.5000 0.0000
Hg 0.0000 0.5000 0.5000
Hg 0.5000 0.0000 0.5000
Pt 0.5000 0.5000 0.5000
```

Calculated values
Calculated volume   150 Å³ per cell
DFT formation energy   -0.283 eV/atom

Record 3
Below is crystalline RbGeBi2H at its relaxed geometry, with properties calculated at the PBE level. Values from VASP.

```
&SYSTEM
  ibrav = 0, nat = 5, ntyp = 4
/
ATOMIC_SPECIES
Rb 85.47 Rb.upf
Ge 72.64 Ge.upf
Bi 208.98 Bi.upf
H 1.01 H.upf
CELL_PARAMETERS angstrom
5.4933 0.0000 0.0000
0.0000 5.4933 0.0000
0.0000 0.0000 7.2126
ATOMIC_POSITIONS crystal
Rb 0.0000 0.0000 0.0000
Ge 0.0000 0.0000 0.5000
Bi 0.0000 0.5000 0.5000
Bi 0.5000 0.0000 0.5000
H 0.5000 0.5000 0.0000
```

Calculated values
Calculated volume   218 Å³ per cell
Raw total energy   -2.731 eV/atom

Record 4
Below is crystalline Y2C at its relaxed geometry, with properties calculated at the PBE level. Values from VASP.

```
&SYSTEM
  ibrav = 0, nat = 3, ntyp = 2
/
ATOMIC_SPECIES
Y 88.91 Y.upf
C 12.01 C.upf
CELL_PARAMETERS angstrom
3.5985 0.0000 0.0000
-1.7993 3.1164 0.0000
0.0000 0.0000 6.2459
ATOMIC_POSITIONS crystal
Y 0.3333 0.6667 0.2164
Y 0.6667 0.3333 0.7836
C 0.0000 0.0000 0.0000
```

Calculated values
Calculated volume   70 Å³ per cell
DFT formation energy   -0.268 eV/atom

Record 5
Below is crystalline YHf3Zr at its relaxed geometry, with properties calculated at the PBE level. Values from VASP.

```
&SYSTEM
  ibrav = 0, nat = 5, ntyp = 3
/
ATOMIC_SPECIES
Y 88.91 Y.upf
Hf 178.49 Hf.upf
Zr 91.22 Zr.upf
CELL_PARAMETERS angstrom
5.1857 0.0000 0.0000
0.0000 5.1857 0.0000
0.0000 0.0000 5.1857
ATOMIC_POSITIONS crystal
Y 0.0000 0.0000 0.0000
Hf 0.0000 0.5000 0.5000
Hf 0.5000 0.0000 0.5000
Hf 0.5000 0.5000 0.0000
Zr 0.5000 0.5000 0.5000
```

Calculated values
Calculated volume   139 Å³ per cell
DFT formation energy   0.908 eV/atom

Record 6
Below is crystalline KIrRh at its relaxed geometry, with properties calculated at the PBE level. Values from VASP.

```
&SYSTEM
  ibrav = 0, nat = 12, ntyp = 3
/
ATOMIC_SPECIES
K 39.10 K.upf
Ir 192.22 Ir.upf
Rh 102.91 Rh.upf
CELL_PARAMETERS angstrom
6.4447 0.0000 0.0000
0.0000 6.4447 0.0000
0.0000 0.0000 6.4447
ATOMIC_POSITIONS crystal
K 0.0000 0.0000 0.0000
K 0.0000 0.5000 0.5000
K 0.5000 0.0000 0.5000
K 0.5000 0.5000 0.0000
Ir 0.2500 0.2500 0.7500
Ir 0.2500 0.7500 0.2500
Ir 0.7500 0.2500 0.2500
Ir 0.7500 0.7500 0.7500
Rh 0.2500 0.2500 0.2500
Rh 0.2500 0.7500 0.7500
Rh 0.7500 0.2500 0.7500
Rh 0.7500 0.7500 0.2500
```

Calculated values
Calculated volume   268 Å³ per cell
DFT formation energy   2.245 eV/atom

Record 7
Below is crystalline GaPdI6 at its relaxed geometry, with properties calculated at the PBE level. Values from VASP.

```
&SYSTEM
  ibrav = 0, nat = 8, ntyp = 3
/
ATOMIC_SPECIES
Ga 69.72 Ga.upf
Pd 106.42 Pd.upf
I 126.90 I.upf
CELL_PARAMETERS angstrom
7.2061 0.0000 0.0000
3.5980 6.2554 0.0000
3.5897 2.0789 6.2800
ATOMIC_POSITIONS crystal
Ga 0.0000 0.0000 0.0000
Pd 0.5000 0.5000 0.5000
I 0.1074 0.7400 0.7502
I 0.2604 0.5968 0.2502
I 0.4025 0.1080 0.7498
I 0.5975 0.8920 0.2502
I 0.7396 0.4032 0.7498
I 0.8926 0.2600 0.2498
```

Calculated values
Calculated volume   283 Å³ per cell
ΔE_f (raw)   -0.13 eV per atom

Record 8
Below is crystalline PuMgBi2N at its relaxed geometry, with properties calculated at the PBE level. Values from VASP.

```
&SYSTEM
  ibrav = 0, nat = 10, ntyp = 4
/
ATOMIC_SPECIES
Pu 244.00 Pu.upf
Mg 24.30 Mg.upf
Bi 208.98 Bi.upf
N 14.01 N.upf
CELL_PARAMETERS angstrom
3.7632 0.0000 0.0000
0.0000 3.7632 0.0000
0.0000 0.0000 18.6056
ATOMIC_POSITIONS crystal
Pu 0.2500 0.2500 0.0616
Pu 0.7500 0.7500 0.9384
Mg 0.2500 0.2500 0.6606
Mg 0.7500 0.7500 0.3394
Bi 0.2500 0.2500 0.4320
Bi 0.2500 0.2500 0.8161
Bi 0.7500 0.7500 0.1839
Bi 0.7500 0.7500 0.5680
N 0.2500 0.7500 0.0000
N 0.7500 0.2500 0.0000
```

Calculated values
Calculated volume   263 Å³ per cell
ΔE_f (raw)   -0.51 eV per atom

Record 9
Below is crystalline BaWBr2 at its relaxed geometry, with properties calculated at the PBE level. Values from VASP.

```
&SYSTEM
  ibrav = 0, nat = 8, ntyp = 3
/
ATOMIC_SPECIES
Ba 137.33 Ba.upf
W 183.84 W.upf
Br 79.90 Br.upf
CELL_PARAMETERS angstrom
4.5338 0.0000 0.0000
0.0000 4.5338 0.0000
0.0000 0.0000 12.1684
ATOMIC_POSITIONS crystal
Ba 0.0000 0.0000 0.0000
Ba 0.5000 0.5000 0.5000
W 0.0000 0.5000 0.2500
W 0.5000 0.0000 0.7500
Br 0.0000 0.0000 0.5000
Br 0.0000 0.5000 0.7500
Br 0.5000 0.0000 0.2500
Br 0.5000 0.5000 0.0000
```

Calculated values
Calculated volume   250 Å³ per cell
ΔE_f (raw)   0.30 eV per atom

Record 10
Below is crystalline Rb2LiRu at its relaxed geometry, with properties calculated at the PBE level. Values from VASP.

```
&SYSTEM
  ibrav = 0, nat = 16, ntyp = 3
/
ATOMIC_SPECIES
Rb 85.47 Rb.upf
Li 6.94 Li.upf
Ru 101.07 Ru.upf
CELL_PARAMETERS angstrom
4.7943 0.0000 0.0000
0.0000 4.7943 0.0000
0.0000 0.0000 23.2479
ATOMIC_POSITIONS crystal
Rb 0.2469 0.2500 0.1250
Rb 0.2500 0.7469 0.3750
Rb 0.2500 0.7531 0.8750
Rb 0.2531 0.2500 0.6250
Rb 0.7469 0.7500 0.6250
Rb 0.7500 0.2469 0.8750
Rb 0.7500 0.2531 0.3750
Rb 0.7531 0.7500 0.1250
Li 0.0000 0.0000 0.5000
Li 0.0000 0.5000 0.7500
Li 0.5000 0.0000 0.2500
Li 0.5000 0.5000 0.0000
Ru 0.0000 0.0000 0.0000
Ru 0.0000 0.5000 0.2500
Ru 0.5000 0.0000 0.7500
Ru 0.5000 0.5000 0.5000
```

Calculated values
Calculated volume   534 Å³ per cell
DFT formation energy   1.266 eV/atom

Record 11
Below is crystalline La2AgGe at its relaxed geometry, with properties calculated at the PBE level. Values from VASP.

```
&SYSTEM
  ibrav = 0, nat = 12, ntyp = 3
/
ATOMIC_SPECIES
La 138.91 La.upf
Ag 107.87 Ag.upf
Ge 72.64 Ge.upf
CELL_PARAMETERS angstrom
4.4505 0.0000 0.0000
-2.2253 3.8542 0.0000
0.0000 0.0000 22.2614
ATOMIC_POSITIONS crystal
La 0.0000 0.0000 0.2411
La 0.0000 0.0000 0.7589
La 0.3333 0.6667 0.4256
La 0.3333 0.6667 0.9078
La 0.6667 0.3333 0.0922
La 0.6667 0.3333 0.5744
Ag 0.0000 0.0000 0.0000
Ag 0.3333 0.6667 0.6667
Ag 0.6667 0.3333 0.3333
Ge 0.0000 0.0000 0.5000
Ge 0.3333 0.6667 0.1667
Ge 0.6667 0.3333 0.8333
```

Calculated values
Calculated volume   382 Å³ per cell
DFT formation energy   -0.439 eV/atom

Record 12
Below is crystalline Re2WBr at its relaxed geometry, with properties calculated at the PBE level. Values from VASP.

```
&SYSTEM
  ibrav = 0, nat = 4, ntyp = 3
/
ATOMIC_SPECIES
Re 186.21 Re.upf
W 183.84 W.upf
Br 79.90 Br.upf
CELL_PARAMETERS angstrom
3.1068 0.0000 0.0000
0.0000 3.1420 0.0000
0.0000 0.0000 7.4921
ATOMIC_POSITIONS crystal
Re 0.0000 0.0000 0.1980
Re 0.0000 0.0000 0.8020
W 0.5000 0.5000 0.0000
Br 0.5000 0.0000 0.5000
```

Calculated values
Calculated volume   73 Å³ per cell
ΔE_f (raw)   0.65 eV per atom

Record 13
Below is crystalline BeSb2Ru at its relaxed geometry, with properties calculated at the PBE level. Values from VASP.

```
&SYSTEM
  ibrav = 0, nat = 4, ntyp = 3
/
ATOMIC_SPECIES
Be 9.01 Be.upf
Sb 121.76 Sb.upf
Ru 101.07 Ru.upf
CELL_PARAMETERS angstrom
3.1775 0.0000 0.0000
0.0000 3.1775 0.0000
0.0000 0.0000 7.2210
ATOMIC_POSITIONS crystal
Be 0.0000 0.0000 0.0000
Sb 0.5000 0.5000 0.2606
Sb 0.5000 0.5000 0.7394
Ru 0.0000 0.0000 0.5000
```

Calculated values
Calculated volume   73 Å³ per cell
ΔE_f (raw)   0.38 eV per atom